Arrangement a

This record from Alexandria describes a relaxed Cd2SbCl crystal. The functional is GGA-PBE.

abc: 4.1278 5.2067 9.6157
angles: 90.00 90.00 90.00
Closest atoms and distances in Å follow each position.
Space group Cmm2 (No. 35)
One atom of each set of equivalent atoms:
Cd1 0.0000 0.0000 0.0000 [2 per cell]  6 Cd 3.07-3.32, 2 Sb 3.07
Cd2 0.0000 0.5000 0.2359 [2 per cell]  2 Cl 2.67
Sb1 0.0000 0.5000 0.7632 [2 per cell]  2 Cd 3.07, 4 Sb 3.32
Cl1 0.0000 0.0000 0.4115 [2 per cell]  2 Cd 2.67

Calculated values
Its magnetization is 0.000 μB per cell.

Arrangement b

This record from Alexandria describes a relaxed Cd2SbCl crystal. The functional is GGA-PBE.

abc: 4.8483 4.7608 10.2709
angles: 90.00 90.57 90.00
Closest atoms and distances in Å follow each position.
Space group P2_1 (No. 4)
One atom of each set of equivalent atoms:
Cd1 0.2198 0.0000 0.0478 [2 per cell]  3 Sb 2.80-2.93
Cd2 0.2483 0.1013 0.6620 [2 per cell]  3 Cl 2.68-2.92, 2 Sb 2.83-2.99
Sb1 0.2815 0.6225 0.8241 [2 per cell]  5 Cd 2.80-2.99
Cl1 0.2493 0.7356 0.4342 [2 per cell]  3 Cd 2.68-2.92

Calculated values
Its magnetization is 0.000 μB per cell.

Which one sits at the top of the stability order? arrangement b does.

Arrangement a

This record from Alexandria describes a relaxed Cd2SbCl crystal. The functional is GGA-PBE.

abc: 3.2672 3.2672 9.5887
angles: 90.00 90.00 90.00
Closest atoms and distances in Å follow each position.
Space group P4mm (No. 99)
One atom of each set of equivalent atoms:
Cd1 0.0000 0.0000 0.0000 [1 per cell]  8 Cd 3.20-3.27, 4 Sb 3.28
Cd2 0.5000 0.5000 0.2309 [1 per cell]  4 Cl 2.84
Sb1 0.5000 0.5000 0.7572 [1 per cell]  4 Sb 3.27, 4 Cd 3.28
Cl1 0.0000 0.0000 0.4027 [1 per cell]  4 Cd 2.84

Calculated values
Its magnetization is 0.000 μB per cell.

Arrangement b

This record from Alexandria describes a relaxed Cd2SbCl crystal. The functional is GGA-PBE.

abc: 5.3579 5.3579 3.4049
angles: 90.00 90.00 90.00
Closest atoms and distances in Å follow each position.
Space group P4/mmm (No. 123)
One atom of each set of equivalent atoms:
Cd1 0.0000 0.5000 0.0000 [2 per cell]  4 Cl 3.17, 4 Sb 3.17, 2 Cd 3.40
Sb1 0.0000 0.0000 0.5000 [1 per cell]  8 Cd 3.17, 2 Sb 3.40
Cl1 0.5000 0.5000 0.5000 [1 per cell]  8 Cd 3.17, 2 Cl 3.40

Calculated values
Its magnetization is 0.000 μB per cell.

Which one sits at the top of the stability order? arrangement b does.

Arrangement a

This record from Alexandria describes a relaxed Cd2SbCl crystal. The functional is GGA-PBE.

abc: 4.3414 5.9612 8.0883
angles: 90.00 90.00 90.00
Closest atoms and distances in Å follow each position.
Space group Cmmm (No. 65)
One atom of each set of equivalent atoms:
Cd1 0.0000 0.0000 0.2503 [4 per cell]  2 Cl 2.96, 2 Sb 2.97
Sb1 0.0000 0.5000 0.0000 [2 per cell]  4 Cd 2.97
Cl1 0.0000 0.5000 0.5000 [2 per cell]  4 Cd 2.96

Calculated values
Its magnetization is 0.000 μB per cell.

Arrangement b

This record from Alexandria describes a relaxed Cd2SbCl crystal. The functional is GGA-PBE.

abc: 5.7701 5.1979 8.2253
angles: 90.00 90.00 90.00
Closest atoms and distances in Å follow each position.
Space group Amm2 (No. 38)
One atom of each set of equivalent atoms:
Cd1 0.0000 0.0000 0.0000 [2 per cell]  3 Cl 2.82-2.90, 2 Sb 2.95
Cd2 0.5000 0.0000 0.2802 [2 per cell]  3 Sb 2.86-2.92, 2 Cl 2.93
Sb1 0.5000 0.0000 0.9250 [2 per cell]  5 Cd 2.86-2.95
Cl1 0.0000 0.0000 0.3431 [2 per cell]  5 Cd 2.82-2.93

Calculated values
Its magnetization is 0.000 μB per cell.

Arrangement c

This record from Alexandria describes a relaxed Cd2SbCl crystal. The functional is GGA-PBE.

abc: 3.5168 3.5168 28.0939
angles: 90.00 90.00 120.00
Closest atoms and distances in Å follow each position.
Space group R-3m (No. 166, hexagonal axes)
One atom of each set of equivalent atoms:
Cd1 0.0000 0.0000 0.2430 [6 per cell]  3 Cl 2.95, 3 Sb 3.25
Sb1 0.0000 0.0000 0.0000 [3 per cell]  6 Cd 3.25, 6 Sb 3.52
Cl1 0.0000 0.0000 0.5000 [3 per cell]  6 Cd 2.95

Calculated values
Its magnetization is 0.000 μB per cell.

Arrangement d

This record from Alexandria describes a relaxed Cd2SbCl crystal. The functional is GGA-PBE.

abc: 6.3076 6.3076 13.7509
angles: 90.00 90.00 90.00
Closest atoms and distances in Å follow each position.
Space group I-42d (No. 122)
One atom of each set of equivalent atoms:
Cd1 0.2340 0.2500 0.1250 [8 per cell]  2 Sb 2.76, 2 Cl 2.87
Sb1 0.0000 0.0000 0.0000 [4 per cell]  4 Cd 2.76
Cl1 0.0000 0.0000 0.5000 [4 per cell]  4 Cd 2.87

Calculated values
Its magnetization is 0.000 μB per cell.

Which one sits at the top of the stability order? arrangement d does.

Arrangement a

This record from Alexandria describes a relaxed Cd2SbCl crystal. The functional is GGA-PBE.

abc: 3.2142 5.9926 10.4827
angles: 90.00 90.00 90.00
Closest atoms and distances in Å follow each position.
Space group Imm2 (No. 44)
One atom of each set of equivalent atoms:
Cd1 0.0000 0.0000 0.0000 [2 per cell]  2 Cl 2.76, 2 Cd 2.97
Cd2 0.0000 0.5000 0.2613 [2 per cell]  4 Cd 2.97-3.21, 2 Sb 3.04
Sb1 0.0000 0.0000 0.5154 [2 per cell]  2 Cd 3.04, 2 Sb 3.21
Cl1 0.0000 0.5000 0.7145 [2 per cell]  2 Cd 2.76

Calculated values
Its magnetization is 0.000 μB per cell.

Arrangement b

This record from Alexandria describes a relaxed Cd2SbCl crystal. The functional is GGA-PBE.

abc: 14.3345 3.2128 4.9189
angles: 90.00 109.68 90.00
Closest atoms and distances in Å follow each position.
Space group C2/m (No. 12)
One atom of each set of equivalent atoms:
Cd1 0.2220 0.0000 0.2230 [4 per cell]  1 Sb 3.00, 6 Cd 3.03-3.21
Sb1 0.0000 0.0000 0.0000 [2 per cell]  4 Cl 2.94, 2 Cd 3.00, 2 Sb 3.21
Cl1 0.0000 0.5000 0.5000 [2 per cell]  4 Sb 2.94, 2 Cl 3.21

Calculated values
Its magnetization is 0.000 μB per cell.

Which one sits at the top of the stability order? arrangement a does.

Arrangement a

This record from Alexandria describes a relaxed Cd2SbCl crystal. The functional is GGA-PBE.

abc: 11.3392 3.2675 5.4554
angles: 90.00 90.01 90.00
Closest atoms and distances in Å follow each position.
Space group Cm (No. 8)
One atom of each set of equivalent atoms:
Cd1 0.0000 0.0000 0.0000 [2 per cell]  1 Cl 2.68
Cd2 0.2414 0.5000 0.4958 [2 per cell]  3 Sb 2.94-3.18, 4 Cl 3.15-3.21, 2 Cd 3.27
Sb1 0.4821 0.0000 0.5011 [2 per cell]  7 Cd 2.94-3.19, 2 Sb 3.27
Cl1 0.2364 0.0000 0.0015 [2 per cell]  1 Cd 2.68

Calculated values
Its magnetization is 0.000 μB per cell.

Arrangement b

This record from Alexandria describes a relaxed Cd2SbCl crystal. The functional is GGA-PBE.

abc: 7.3003 7.3003 7.3003
angles: 90.00 90.00 90.00
Closest atoms and distances in Å follow each position.
Space group F-43m (No. 216)
One atom of each set of equivalent atoms:
Cd1 0.0000 0.0000 0.0000 [4 per cell]  4 Cd 3.16, 4 Sb 3.16
Cd2 0.2500 0.2500 0.2500 [4 per cell]  4 Cd 3.16, 4 Cl 3.16
Sb1 0.2500 0.2500 0.7500 [4 per cell]  4 Cd 3.16, 4 Cl 3.16
Cl1 0.0000 0.0000 0.5000 [4 per cell]  4 Cd 3.16, 4 Sb 3.16

Calculated values
Its magnetization is 0.000 μB per cell.

Arrangement c

This record from Alexandria describes a relaxed Cd2SbCl crystal. The functional is GGA-PBE.

abc: 3.2028 5.9701 5.4329
angles: 90.00 96.93 90.00
Closest atoms and distances in Å follow each position.
Space group P2/m (No. 10)
One atom of each set of equivalent atoms:
Cd1 0.2287 0.0000 0.2597 [2 per cell]  5 Cd 2.96-3.20
Sb1 0.0000 0.5000 0.0000 [1 per cell]  2 Cl 2.72
Cl1 0.0000 0.5000 0.5000 [1 per cell]  2 Sb 2.72

Calculated values
Its magnetization is 0.000 μB per cell.

Arrangement d

This record from Alexandria describes a relaxed Cd2SbCl crystal. The functional is GGA-PBE.

abc: 4.3217 4.3217 21.5025
angles: 90.00 90.00 120.00
Closest atoms and distances in Å follow each position.
Space group R3m (No. 160, hexagonal axes)
One atom of each set of equivalent atoms:
Cd1 0.0000 0.0000 0.0000 [3 per cell]  3 Cl 2.99, 3 Sb 2.99
Cd2 0.0000 0.0000 0.1892 [3 per cell]  3 Sb 2.89
Sb1 0.0000 0.0000 0.5902 [3 per cell]  6 Cd 2.89-2.99
Cl1 0.0000 0.0000 0.4095 [3 per cell]  3 Cd 2.99

Calculated values
Its magnetization is 0.000 μB per cell.

Which one sits at the top of the stability order? arrangement a does.